(1)
Computed, not measured: a geometry-optimized Rb2GePd2 structure at the PBE level of DFT.

Values from the calculation:
Total moment (μB per atom): 0.000
Total DFT energy (no corrections) (eV per atom): -3.661
DFT formation energy (meV per atom): -273

Lattice parameters (Å, degrees): 4.420 4.420 11.002 78.41 78.41 60.00
Fractional positions:
Rb (0.425, 0.425, 0.724)
Rb (0.575, 0.575, 0.276)
Ge (0.000, 0.000, 0.000)
Pd (0.681, 0.681, 0.956)
Pd (0.319, 0.319, 0.044)

---

(2)
Computed, not measured: a geometry-optimized SrMgRe2 structure at the PBE level of DFT.

Values from the calculation:
Total moment (μB per atom): 0.000
Total DFT energy (no corrections) (eV per atom): -6.382
DFT formation energy (meV per atom): 661

Lattice parameters (Å, degrees): 5.227 5.227 5.732 71.38 71.38 43.32
Fractional positions:
Mg (0.250, 0.250, 0.250)
Re (0.984, 0.984, 0.141)
Re (0.516, 0.516, 0.359)
Sr (0.750, 0.750, 0.750)